Computed, not measured: crystalline AlPbCl2 at its relaxed geometry at the PBE level of DFT.

Output
**Total DFT energy (no corrections)**: -12.46 eV for the cell shown
**E_form (uncorrected)**: -0.329 eV per atom
**Distance to the lowest polymorph of the same formula**: 264 meV/atom

The structure in extended XYZ format:
```
4
Lattice="-2.409 2.409 4.293 2.409 -2.409 4.293 2.409 2.409 -4.293" Properties=species:S:1:pos:R:3 pbc="T T T"
Al 0.000 0.000 0.000
Pb 0.000 0.000 4.293
Cl 2.409 0.000 2.147
Cl 0.000 2.409 2.147
```



Computed, not measured: crystalline CrSn2 at its relaxed geometry at the PBE level of DFT.

Output
**Total DFT energy (no corrections)**: -16.48 eV for the cell shown
**Energy relative to the elements**: 0.3826 eV per atom

The structure in extended XYZ format:
```
3
Lattice="-1.754 1.754 4.633 1.754 -1.754 4.633 1.754 1.754 -4.633" Properties=species:S:1:pos:R:3 pbc="T T T"
Cr 0.000 0.000 0.000
Sn 0.000 0.000 3.208
Sn 0.000 0.000 6.058
```



Computed, not measured: crystalline Cs12H2S5 at its relaxed geometry at the PBE level of DFT.

Output
**Total DFT energy (no corrections)**: -52.53 eV for the cell shown

The structure in extended XYZ format:
```
19
Lattice="9.526 -4.367 0.000 9.526 4.367 0.000 -3.163 0.000 10.634" Properties=species:S:1:pos:R:3 pbc="T T T"
Cs -0.601 0.000 2.128
Cs 3.327 2.306 9.572
Cs 5.189 2.191 4.589
Cs 10.700 2.191 6.046
Cs 12.561 2.306 1.063
Cs 8.306 0.000 2.064
Cs 7.583 0.000 8.571
Cs 3.327 -2.306 9.572
Cs 5.189 -2.191 4.589
Cs 10.700 -2.191 6.046
Cs 12.561 -2.306 1.063
Cs 16.490 0.000 8.506
H 9.526 2.059 0.000
H 9.526 -2.059 0.000
S 0.801 0.000 8.989
S 2.512 0.000 3.682
S 7.944 0.000 5.317
S 13.377 0.000 6.952
S 15.088 0.000 1.645
```



Computed, not measured: crystalline Er2CoAu at its relaxed geometry at the PBE level of DFT.

Output
**Total DFT energy (no corrections)**: -21.61 eV for the cell shown
**Energy relative to the elements**: -0.5242 eV per atom

The structure in extended XYZ format:
```
4
Lattice="3.399 0.000 0.000 0.000 3.399 0.000 0.000 0.000 7.114" Properties=species:S:1:pos:R:3 pbc="T T T"
Er 0.000 0.000 1.634
Er 0.000 0.000 5.480
Co 1.700 1.700 0.000
Au 1.700 1.700 3.557
```



Computed, not measured: crystalline BeTc2 at its relaxed geometry at the PBE level of DFT.

Output
**Total DFT energy (no corrections)**: -74.72 eV for the cell shown
**Distance to the lowest polymorph of the same formula**: 118 meV/atom
**Energy relative to the elements**: -0.1500 eV per atom

The structure in extended XYZ format:
```
9
Lattice="6.582 0.000 0.000 -3.291 5.700 0.000 0.000 0.000 2.955" Properties=species:S:1:pos:R:3 pbc="T T T"
Be 0.000 0.000 0.000
Be 0.000 3.800 1.477
Be 3.291 1.900 1.477
Tc -0.870 1.506 1.477
Tc -1.981 3.431 0.000
Tc 1.739 0.000 1.477
Tc 1.310 2.269 0.000
Tc 3.962 0.000 0.000
Tc 2.421 4.194 1.477
```



Computed, not measured: crystalline MnBe2Os at its relaxed geometry at the PBE level of DFT.

Output
**Total DFT energy (no corrections)**: -27.86 eV for the cell shown
**Energy relative to the elements**: -0.0009 eV per atom

The structure in extended XYZ format:
```
4
Lattice="2.894 0.000 0.000 0.000 3.710 0.000 0.000 0.000 4.074" Properties=species:S:1:pos:R:3 pbc="T T T"
Mn 0.000 0.000 0.000
Be 0.000 1.855 2.037
Be 1.447 1.855 0.000
Os 1.447 0.000 2.037
```



Number 1: spin magnetization 0.00 μB per atom. Number 2: spin magnetization 0.00 μB per atom. Number 3: spin magnetization 0.00 μB per atom. Number 4: spin magnetization 0.20 μB per atom. Number 5: spin magnetization 0.00 μB per atom. Number 6: spin magnetization 0.50 μB per atom.